Entry 1:
Density functional theory data (SCAN) for a PBEsol-optimized structure of Cr2CuSe.

```
4
Lattice="-1.7725 -1.9455 -1.4191 -1.3054 -1.5021 3.6898 -1.9200 3.9406 0.1458" Properties=species:S:1:pos:R:3 pbc="T T T"
Cr -3.3590 -0.6283 1.9068
Cu -0.8862 -0.9728 -0.7095
Cr -1.6389 1.1213 0.5097
Se -0.6527 -0.7510 1.8449
```

Total DFT energy (no corrections) ... -17.498 eV/atom
Total magnetization ... 0.00 μB per cell

---

Entry 2:
Density functional theory data (SCAN) for a PBEsol-optimized structure of CrCu2Se.

```
4
Lattice="-0.6079 -0.2004 -3.7269 3.7131 -0.4142 -0.5833 -1.9333 -3.4794 2.4208" Properties=species:S:1:pos:R:3 pbc="T T T"
Cu -0.4943 -1.9936 -1.7306
Se 1.5526 -0.3073 -2.1551
Cu 0.0000 0.0000 0.0000
Cr 1.6662 -2.1004 -0.1588
```

Total DFT energy (no corrections) ... -17.028 eV/atom
Total magnetization ... 3.83 μB per cell

---

Entry 3:
Density functional theory data (SCAN) for a PBEsol-optimized structure of Cr2CuSe.

```
4
Lattice="-1.5544 2.0357 -1.5556 -2.3328 -0.3723 1.8439 2.0148 4.1224 3.3814" Properties=species:S:1:pos:R:3 pbc="T T T"
Cr 1.4968 3.0625 2.5121
Cu -1.9436 0.8317 0.1441
Se -0.9362 2.8929 1.8348
Cr 0.5180 1.0598 0.8693
```

Total DFT energy (no corrections) ... -17.768 eV/atom
Total magnetization ... 6.97 μB per cell

---

Entry 4:
Density functional theory data (SCAN) for a PBEsol-optimized structure of CrCu2Se.

```
4
Lattice="-0.9742 -4.1547 0.2066 0.7893 -2.5478 -3.3376 3.1145 -2.9157 0.2277" Properties=species:S:1:pos:R:3 pbc="T T T"
Cr 1.4648 -4.8091 -1.4516
Cu 0.0000 0.0000 0.0000
Se 2.1972 -7.2137 -2.1774
Cu 0.7324 -2.4046 -0.7258
```

Total DFT energy (no corrections) ... -16.982 eV/atom
Total magnetization ... 4.02 μB per cell

---

Entry 5:
Density functional theory data (SCAN) for a PBEsol-optimized structure of CrCuSe.

```
3
Lattice="-0.3161 0.7568 -4.0745 1.7584 -2.5871 -2.7367 -2.3802 -2.4315 -2.3868" Properties=species:S:1:pos:R:3 pbc="T T T"
Cu -0.2345 -1.0655 -2.2995
Se 0.0000 0.0000 0.0000
Cr -0.4690 -2.1309 -4.5990
```

Total DFT energy (no corrections) ... -17.808 eV/atom
Total magnetization ... 4.96 μB per cell

---

Entry 6:
Density functional theory data (SCAN) for a PBEsol-optimized structure of CrCu2Se.

```
4
Lattice="-2.2675 -0.1265 1.7109 0.2806 -0.9534 2.6641 0.7844 6.9296 3.9148" Properties=species:S:1:pos:R:3 pbc="T T T"
Cr -0.2913 1.5095 2.0883
Cu -1.9785 -1.0374 4.3894
Cu -0.8724 4.5361 6.2675
Se -0.6486 2.6864 4.0645
```

Total DFT energy (no corrections) ... -16.872 eV/atom
Total magnetization ... 2.02 μB per cell

---

Entry 7:
Density functional theory data (SCAN) for a PBEsol-optimized structure of CrCu2Se.

```
4
Lattice="-0.9977 1.4973 -3.1169 0.5027 -3.1024 -1.6513 -3.8058 -0.2704 3.1661" Properties=species:S:1:pos:R:3 pbc="T T T"
Cu -2.2675 -1.3372 -1.9944
Cr 0.2513 -1.5512 -0.8256
Se -0.4988 0.7487 -1.5585
Cu -2.0333 -0.5382 0.3923
```

Total DFT energy (no corrections) ... -17.106 eV/atom
Total magnetization ... 4.03 μB per cell

---

Entry 8:
Density functional theory data (SCAN) for a PBEsol-optimized structure of TiCrCuSe4.

```
14
Lattice="7.1599 0.0000 0.0000 3.5799 6.3576 -0.0191 3.5799 2.0149 6.0299" Properties=species:S:1:pos:R:3 pbc="T T T"
Se 7.1599 2.1171 1.5883
Se 3.5799 2.0044 1.5074
Se 8.8402 5.3031 1.5156
Cu 10.7398 4.1712 5.2863
Cr 3.5799 0.0000 0.0000
Cu 3.5799 4.2013 0.7245
Se 7.1598 6.2554 4.4226
Ti 5.3699 1.0074 3.0150
Se 10.7398 6.3681 4.5035
Se 8.8402 3.0694 4.4953
Ti 1.7900 1.0074 3.0150
Se 5.4795 3.0694 4.4953
Cr 7.1599 4.1863 3.0054
Se 5.4795 5.3031 1.5156
```

Total DFT energy (no corrections) ... -19.471 eV/atom
Total magnetization ... 5.96 μB per cell

---

Entry 9:
Density functional theory data (SCAN) for a PBEsol-optimized structure of CrCuWSe2.

```
5
Lattice="-0.1466 3.0479 -3.2246 -1.6691 -3.1116 -2.8651 -4.2271 1.1177 1.2487" Properties=species:S:1:pos:R:3 pbc="T T T"
Cr 0.0000 0.0000 0.0000
Se -2.1136 0.5589 0.6243
Se -0.8345 -1.5558 -1.4326
Cu -0.0733 1.5239 -1.6123
W -3.0214 0.5270 -2.4206
```

Total DFT energy (no corrections) ... -27.449 eV/atom
Total magnetization ... 6.18 μB per cell

---

Entry 10:
Density functional theory data (SCAN) for a PBEsol-optimized structure of ZnCr4CuSe8.

```
14
Lattice="7.2929 0.0000 0.0000 3.6465 6.3159 0.0000 3.6465 2.1053 5.9546" Properties=species:S:1:pos:R:3 pbc="T T T"
Se 7.2929 4.2106 0.5625
Cr 10.9394 6.3159 2.1942
Se 5.3212 5.3490 3.7823
Cr 10.9394 4.1740 5.2233
Se 3.6465 2.1053 3.8526
Se 9.2647 5.3490 3.7823
Cu 3.6465 2.1053 1.4887
Se 7.2929 1.9338 3.7823
Se 3.6465 4.3340 0.7007
Cr 9.0845 7.3868 5.2233
Cr 12.7943 7.3868 5.2233
Se 1.7163 0.9909 0.7007
Se 5.5766 0.9909 0.7007
Zn 7.2929 4.2106 2.9773
```

Total DFT energy (no corrections) ... -19.583 eV/atom
Total magnetization ... 11.18 μB per cell

---

Entry 11:
Density functional theory data (SCAN) for a PBEsol-optimized structure of ZnCr8Cu3Se16.

```
28
Lattice="7.2583 0.0000 0.0000 3.6292 6.2859 0.0000 3.6292 2.0953 11.8432" Properties=species:S:1:pos:R:3 pbc="T T T"
Se 9.1829 3.0794 4.4620
Se 5.3446 1.1049 1.4357
Cr 9.0575 3.1519 0.0291
Se 7.2583 6.4129 4.4620
Cu 3.6292 2.0953 9.6215
Se 3.6292 2.0953 7.2628
Se 7.2583 4.1906 10.5560
Cr 5.4219 1.0603 5.8827
Cr 10.8875 6.2859 8.9389
Cu 7.2583 4.1906 3.7124
Zn 7.2583 4.1906 8.1422
Se 3.6292 4.0761 1.4357
Se 7.2583 1.9215 7.3383
Se 5.2933 5.3251 7.3383
Se 12.5977 7.2733 10.4242
Se 5.3337 3.0794 4.4620
Se 10.8875 6.2859 4.5676
Cr 1.8364 1.0603 5.8827
Cu 10.8875 6.2859 2.2247
Cr 7.2583 6.2681 0.0291
Cr 5.4592 3.1519 0.0291
Cr 3.6292 4.1654 5.8827
Cr 3.6292 2.0953 2.9281
Se 9.2234 5.3251 7.3383
Se 7.2583 4.1906 1.3698
Se 9.1773 7.2733 10.4242
Se 1.9137 1.1049 1.4357
Se 10.8875 4.3112 10.4242
```

Total DFT energy (no corrections) ... -19.604 eV/atom
Total magnetization ... 21.71 μB per cell

---

Entry 12:
Density functional theory data (SCAN) for a PBEsol-optimized structure of CrCuSn2.

```
4
Lattice="-2.0289 -3.3380 -2.6007 2.2892 -3.9996 -0.8863 -1.4087 -4.0032 2.0031" Properties=species:S:1:pos:R:3 pbc="T T T"
Sn -0.2871 -2.8352 -0.3710
Sn -0.8613 -8.5056 -1.1130
Cr 0.0000 0.0000 0.0000
Cu -0.5742 -5.6704 -0.7420
```

Energy of formation from the pure elements ... 6.1 kcal/mol of atoms
Total DFT energy (no corrections) ... -26.093 eV/atom
Total magnetization ... 4.16 μB per cell